# 1
DFT (GGA-PBEsol) results for crystalline NaHg3 at its relaxed geometry.

The value obtained for the density of states at the Fermi level is 2.27 states/eV/cell. Its volume is 182.1 Å³/cell. As for the total energy: -0.989 eV per atom.

Structure (CIF):
```
data_NaHg3
_space_group_name_H-M_alt 'P 1'
_space_group_IT_number 1
_cell_length_a 6.453
_cell_length_b 6.453
_cell_length_c 5.048
_cell_angle_alpha 90.00
_cell_angle_beta 90.00
_cell_angle_gamma 120.00
loop_
_space_group_symop_operation_xyz
'x,y,z'
loop_
_atom_site_label
_atom_site_fract_x
_atom_site_fract_y
_atom_site_fract_z
_atom_site_occupancy
Na1 0.333 0.667 0.250 1
Na2 0.667 0.333 0.750 1
Hg1 0.166 0.333 0.750 1
Hg2 0.166 0.834 0.750 1
Hg3 0.333 0.166 0.250 1
Hg4 0.667 0.834 0.750 1
Hg5 0.834 0.166 0.250 1
Hg6 0.834 0.667 0.250 1
```

# 2
DFT (GGA-PBEsol) results for crystalline NaHg3 at its relaxed geometry.

The value obtained for the density of states at the Fermi level is 1.34 states/eV/cell. Its volume is 91.0 Å³/cell. As for the total energy: -0.979 eV per atom.

Structure (CIF):
```
data_NaHg3
_space_group_name_H-M_alt 'P 1'
_space_group_IT_number 1
_cell_length_a 5.049
_cell_length_b 5.049
_cell_length_c 5.049
_cell_angle_alpha 60.00
_cell_angle_beta 60.00
_cell_angle_gamma 60.00
loop_
_space_group_symop_operation_xyz
'x,y,z'
loop_
_atom_site_label
_atom_site_fract_x
_atom_site_fract_y
_atom_site_fract_z
_atom_site_occupancy
Na1 0.000 0.000 0.000 1
Hg1 0.250 0.250 0.250 1
Hg2 0.500 0.500 0.500 1
Hg3 0.750 0.750 0.750 1
```